[1]
A relaxed structure of AcMg2IrO8. Source: Alexandria via LeMat-Bulk, functional GGA-PBE.

Energy relative to the elements, uncorrected in eV per atom: -1.7076
Magnetization in μB/cell: 0.94
Density of states at the Fermi level in states/eV/f.u.: 4.5

Unit cell a=4.6935 b=6.9950 c=4.7056 alpha=90.00 beta=90.65 gamma=90.00
Fractional positions:
Ac: 0.0000 0.0000 0.0000
Mg: 0.5000 0.2909 0.5000
Mg: 0.5000 0.7091 0.5000
Ir: 0.0000 0.5000 0.0000
O: 0.1977 0.2951 0.8064
O: 0.1977 0.7049 0.8064
O: 0.2836 0.5000 0.2872
O: 0.3823 0.0000 0.3892
O: 0.6177 0.0000 0.6108
O: 0.7164 0.5000 0.7128
O: 0.8023 0.2951 0.1936
O: 0.8023 0.7049 0.1936



[2]
A relaxed structure of ZrPtCl2. Source: Alexandria via LeMat-Bulk, functional GGA-PBE.

Relative energy among the computed polymorphs in meV per atom: 429
Energy relative to the elements, uncorrected in eV per atom: -0.7346
Magnetization in μB/cell: 0.00

Unit cell a=6.9296 b=6.9296 c=6.9296 alpha=152.24 beta=137.54 gamma=51.49
Fractional positions:
Zr: 0.0000 0.0000 0.0000
Pt: 0.1513 0.6513 0.5000
Cl: 0.4861 0.4861 0.0000
Cl: 0.8319 0.3319 0.5000



[3]
A relaxed structure of SrGa2Rh. Source: Alexandria via LeMat-Bulk, functional GGA-PBE.

Magnetization in μB/cell: 0.00
E_form in eV per atom: -0.38
Density of states at the Fermi level in states/eV/f.u.: 2.2

Unit cell a=8.8307 b=8.8307 c=8.8307 alpha=145.76 beta=145.76 gamma=49.20
Fractional positions:
Sr: 0.3750 0.6250 0.7500
Sr: 0.6250 0.3750 0.2500
Ga: 0.0000 0.0000 0.0000
Ga: 0.0000 0.0000 0.5000
Ga: 0.0000 0.5000 0.0000
Ga: 0.5000 0.0000 0.5000
Rh: 0.1250 0.8750 0.2500
Rh: 0.8750 0.1250 0.7500



[4]
A relaxed structure of Ca3Si2Ge8. Source: Alexandria via LeMat-Bulk, functional GGA-PBE.

Energy relative to the elements, uncorrected in eV per atom: -0.2104
Magnetization in μB/cell: 0.00
Density of states at the Fermi level in states/eV/f.u.: 1.6

Unit cell a=5.7029 b=6.1390 c=9.6948 alpha=103.16 beta=91.16 gamma=115.56
Fractional positions:
Ca: 0.0000 0.0000 0.0000
Ca: 0.0606 0.6217 0.3095
Ca: 0.9394 0.3783 0.6905
Si: 0.3568 0.1616 0.7690
Si: 0.6432 0.8384 0.2310
Ge: 0.0873 0.1566 0.3730
Ge: 0.3886 0.7700 0.0049
Ge: 0.4360 0.8362 0.5958
Ge: 0.4644 0.3910 0.2254
Ge: 0.5356 0.6090 0.7746
Ge: 0.5640 0.1638 0.4042
Ge: 0.6114 0.2300 0.9951
Ge: 0.9127 0.8434 0.6270



[5]
A relaxed structure of CsNa2US4. Source: Alexandria via LeMat-Bulk, functional GGA-PBE.

Energy relative to the elements, uncorrected in eV per atom: -1.0938
Magnetization in μB/cell: 1.00
Density of states at the Fermi level in states/eV/f.u.: 7.2

Unit cell a=6.9472 b=6.9472 c=7.4843 alpha=121.26 beta=121.26 gamma=65.14
Fractional positions:
Cs: 0.0000 0.0000 0.0000
Na: 0.2527 0.2479 0.7517
Na: 0.7521 0.7473 0.2483
U: 0.5011 0.4989 0.5000
S: 0.1587 0.5380 0.1524
S: 0.4620 0.8413 0.8476
S: 0.5452 0.1445 0.5380
S: 0.8555 0.4548 0.4620



[6]
A relaxed structure of HoPuNp2S4. Source: Alexandria via LeMat-Bulk, functional GGA-PBE.

Energy relative to the elements, uncorrected in eV per atom: -1.6280
Magnetization in μB/cell: 14.11
Density of states at the Fermi level in states/eV/f.u.: 20.4

Unit cell a=6.7633 b=3.9146 c=6.7887 alpha=90.00 beta=109.41 gamma=90.00
Fractional positions:
Ho: 0.0000 0.0000 0.0000
Pu: 0.0000 0.5000 0.5000
Np: 0.5000 0.0000 0.5000
Np: 0.5000 0.5000 0.0000
S: 0.2501 0.5000 0.2490
S: 0.2524 0.0000 0.7512
S: 0.7476 0.0000 0.2488
S: 0.7499 0.5000 0.7510